No. 1
VASP calculation (PBE) on Th3Te2Se after structural relaxation.

abc: 7.6232 7.5533 7.5983
angles: 80.41 59.89 70.61
With the nearest neighbours (Å) after each atom.
Fractional coordinates of all 12 atoms:
Th1 0.4318 0.7632 0.6507  2 Se 2.96-2.97, 4 Te 3.16-3.23
Th2 0.5682 0.2368 0.3493  2 Se 2.96-2.97, 4 Te 3.16-3.23
Th3 0.0825 0.7632 0.3493  2 Se 2.96-2.97, 4 Te 3.16-3.23
Th4 0.7167 0.7834 0.0000  2 Se 2.96, 4 Te 3.11-3.20
Th5 0.9175 0.2368 0.6507  2 Se 2.96-2.97, 4 Te 3.16-3.23
Th6 0.2833 0.2166 0.0000  2 Se 2.96, 4 Te 3.11-3.20
Te1 0.1532 0.5000 0.6936  6 Th 3.17-3.23
Te2 0.5000 0.5000 0.0000  6 Th 3.11-3.19
Te3 0.0000 0.0000 0.0000  6 Th 3.11-3.16
Te4 0.8468 0.5000 0.3064  6 Th 3.17-3.23
Se1 0.3273 0.0000 0.3455  6 Th 2.96-2.97
Se2 0.6727 0.0000 0.6545  6 Th 2.96-2.97

Summary:
* raw formation energy: -1189 meV/atom
* final energy: -6.53 eV per atom

---

No. 2
VASP calculation (PBE) on Li2Zn2Ni15 after structural relaxation.

abc: 6.1794 6.1794 6.1794
angles: 81.70 81.70 81.70
With the nearest neighbours (Å) after each atom.
Fractional coordinates of all 19 atoms:
Ni1 0.5000 0.0000 0.0000  8 Ni 2.36-2.41, 2 Li 2.47
Ni2 0.0000 0.5000 0.0000  8 Ni 2.36-2.41, 2 Li 2.47
Ni3 0.6763 0.3237 0.0000  8 Ni 2.41-2.62
Ni4 0.0000 0.3237 0.6763  8 Ni 2.41-2.62
Ni5 0.6581 0.1680 0.6581  8 Ni 2.29-2.47, 1 Li 2.54
Ni6 0.0000 0.0000 0.5000  8 Ni 2.36-2.41, 2 Li 2.47
Ni7 0.6763 0.0000 0.3237  8 Ni 2.41-2.62
Ni8 0.6581 0.6581 0.1680  8 Ni 2.29-2.47, 1 Li 2.54
Ni9 0.0000 0.6763 0.3237  8 Ni 2.41-2.62
Ni10 0.8320 0.3419 0.3419  8 Ni 2.29-2.47, 1 Li 2.54
Ni11 0.1680 0.6581 0.6581  8 Ni 2.29-2.47, 1 Li 2.54
Ni12 0.3237 0.0000 0.6763  8 Ni 2.41-2.62
Ni13 0.3419 0.3419 0.8320  8 Ni 2.29-2.47, 1 Li 2.54
Ni14 0.3237 0.6763 0.0000  8 Ni 2.41-2.62
Ni15 0.3419 0.8320 0.3419  8 Ni 2.29-2.47, 1 Li 2.54
Li1 0.9010 0.9010 0.9010  1 Li 2.41, 6 Ni 2.47-2.54
Li2 0.0990 0.0990 0.0990  1 Li 2.41, 6 Ni 2.47-2.54
Zn1 0.3605 0.3605 0.3605  12 Ni 2.75-2.89
Zn2 0.6395 0.6395 0.6395  12 Ni 2.75-2.89

Summary:
* final energy: -4.83 eV per atom
* E_form: 6.8 kJ/mol of atoms

---

No. 3
VASP calculation (PBE) on Rb2NbIn after structural relaxation.

abc: 10.1741 10.1741 7.8606
angles: 49.67 49.67 90.00
With the nearest neighbours (Å) after each atom.
Fractional coordinates of all 8 atoms:
Rb1 0.3750 0.3773 0.7500  2 Rb 3.17
Rb2 0.1273 0.6250 0.2500  2 Rb 3.17
Rb3 0.6227 0.1250 0.2500  2 Rb 3.17
Rb4 0.8750 0.8727 0.7500  2 Rb 3.17
Nb1 0.2500 0.7500 0.5000  2 In 3.17
Nb2 0.5000 0.5000 0.0000  2 In 3.17
In1 0.7500 0.2500 0.5000  2 Nb 3.17
In2 0.0000 0.0000 0.0000  2 Nb 3.17

Summary:
* final energy: -2.56 eV per atom
* E_form: 108.8 kJ/mol of atoms

---

No. 4
VASP calculation (PBE) on AgMoRu2 after structural relaxation.

abc: 4.7623 4.7623 2.7952
angles: 90.00 90.00 107.17
With the nearest neighbours (Å) after each atom.
Fractional coordinates of all 4 atoms:
Ru1 0.0000 0.0000 0.0000  4 Ag 2.76, 4 Mo 2.76, 4 Ru 2.80-2.83
Ru2 0.5000 0.5000 0.0000  4 Mo 2.76, 4 Ag 2.76, 4 Ru 2.80-2.83
Ag1 0.5000 0.0000 0.5000  8 Ru 2.76, 2 Ag 2.80, 2 Mo 2.83
Mo1 0.0000 0.5000 0.5000  8 Ru 2.76, 2 Mo 2.80, 2 Ag 2.83

Summary:
* final energy: -7.62 eV per atom
* E_form: 42.5 kJ/mol of atoms

---

No. 5
VASP calculation (PBE) on LiPd2Pt after structural relaxation.

abc: 4.3922 4.3922 4.3922
angles: 60.00 60.00 60.00
With the nearest neighbours (Å) after each atom.
Fractional coordinates of all 4 atoms:
Li1 0.0000 0.0000 0.0000  8 Pd 2.69
Pd1 0.2500 0.2500 0.2500  4 Li 2.69, 4 Pt 2.69
Pd2 0.7500 0.7500 0.7500  4 Li 2.69, 4 Pt 2.69
Pt1 0.5000 0.5000 0.5000  8 Pd 2.69

Summary:
* final energy: -4.79 eV per atom
* E_form: -19.7 kJ/mol of atoms

---

No. 6
VASP calculation (PBE) on Pr3ZnO6 after structural relaxation.

abc: 5.6861 7.5100 7.5100
angles: 102.48 90.00 90.00
With the nearest neighbours (Å) after each atom.
Fractional coordinates of all 20 atoms:
O1 0.6543 0.9653 0.0347  1 Zn 2.02
O2 0.6664 0.2159 0.7841  1 Zn 1.94
O3 0.7033 0.3277 0.3543  4 Pr 2.36-2.42
O4 0.1664 0.7841 0.2159  1 Zn 1.94
O5 0.1883 0.4198 0.8948  1 Zn 2.00
O6 0.6883 0.5802 0.1052  1 Zn 2.00
O7 0.2033 0.6723 0.6457  4 Pr 2.36-2.42
O8 0.2033 0.3543 0.3277  4 Pr 2.36-2.42
O9 0.6883 0.8948 0.4198  1 Zn 2.00
O10 0.7033 0.6457 0.6723  4 Pr 2.36-2.42
O11 0.1883 0.1052 0.5802  1 Zn 2.00
O12 0.1543 0.0347 0.9653  1 Zn 2.02
Zn1 0.0033 0.1910 0.8090  4 O 1.94-2.02
Zn2 0.5033 0.8090 0.1910  4 O 1.94-2.02
Pr1 0.4280 0.3944 0.6056  7 O 2.41-2.54
Pr2 0.9280 0.6056 0.3944  7 O 2.41-2.54
Pr3 0.4751 0.9156 0.6983  5 O 2.36-2.46
Pr4 0.9751 0.0844 0.3017  5 O 2.36-2.46
Pr5 0.4751 0.3017 0.0844  5 O 2.36-2.46
Pr6 0.9751 0.6983 0.9156  5 O 2.36-2.46

Summary:
* raw formation energy: -2710 meV/atom
* final energy: -7.25 eV per atom

---

No. 7
VASP calculation (PBE) on PmHoCdOs after structural relaxation.

abc: 3.4789 3.4789 7.8924
angles: 90.00 90.00 90.00
With the nearest neighbours (Å) after each atom.
Fractional coordinates of all 4 atoms:
Cd1 0.0000 0.0000 0.0825  4 Ho 3.28, 4 Pm 3.41, 4 Cd 3.48
Os1 0.0000 0.0000 0.5611  4 Ho 2.94, 4 Pm 3.02
Ho1 0.5000 0.5000 0.3574  4 Os 2.94, 4 Cd 3.28
Pm1 0.5000 0.5000 0.7836  4 Os 3.02, 1 Ho 3.36

Summary:
* final energy: -5.61 eV per atom
* E_form: -23.6 kJ/mol of atoms

---

No. 8
VASP calculation (PBE) on HoSi4OsRu2 after structural relaxation.

abc: 4.1107 4.1107 8.6726
angles: 76.29 76.29 60.00
With the nearest neighbours (Å) after each atom.
Fractional coordinates of all 8 atoms:
Si1 0.4003 0.4003 0.7991  1 Os 2.50, 3 Ru 2.50
Si2 0.5997 0.5997 0.2009  1 Os 2.50, 3 Ru 2.50
Si3 0.8691 0.8691 0.3927  4 Ru 2.51-2.61, 3 Os 2.54
Si4 0.1309 0.1309 0.6073  4 Ru 2.51-2.61, 3 Os 2.54
Ho1 0.0000 0.0000 0.0000  6 Si 2.91
Os1 0.5000 0.5000 0.5000  8 Si 2.50-2.54
Ru1 0.2351 0.2351 0.2948  7 Si 2.50-2.61
Ru2 0.7649 0.7649 0.7052  7 Si 2.50-2.61

Summary:
* raw formation energy: -584 meV/atom
* final energy: -7.59 eV per atom